## CaCuGe2Au (GGA-PBE)

Data for crystalline CaCuGe2Au at its relaxed geometry.

## Properties
**D(E_F)**: 1.880 states/eV per cell
**DFT formation energy**: -0.39 eV/atom

Cell and atoms, written as POSCAR:
```
CaCuGe2Au
1.0
-2.151 2.151 5.274
2.151 -2.151 5.274
2.151 2.151 -5.274
Ca Cu Ge Au
1 1 2 1
direct
0.000 0.000 0.000
0.250 0.750 0.500
0.383 0.383 0.000
0.617 0.617 0.000
0.750 0.250 0.500
```